Below is crystalline KLaCl2 at its relaxed geometry, with properties calculated at the PBE level.

Lattice parameters (Å, degrees): 8.434 8.434 8.434 152.37 152.50 39.37
Atoms (fractional coordinates):
K (0.465, 0.465, 0.000)
Cl (0.067, 0.067, 0.000)
Cl (0.762, 0.262, 0.500)
La (0.206, 0.706, 0.500)

Values from the calculation:
* distance to the lowest polymorph of the same formula: 16.8 kJ per mole of atoms
* space group: Imm2 (44)
* theoretical density: 3.2 g cm⁻³
* E: -3.923 eV/atom
* uncorrected formation energy: -1.4935 eV/atom

=====

Below is crystalline Ni3Bi at its relaxed geometry, with properties calculated at the PBE level.

Lattice parameters (Å, degrees): 3.834 3.834 3.834 90.00 90.00 90.00
Atoms (fractional coordinates):
Ni (0.000, 0.500, 0.500)
Ni (0.500, 0.000, 0.500)
Ni (0.500, 0.500, 0.000)
Bi (0.000, 0.000, 0.000)

Values from the calculation:
* energy of formation from the pure elements: 0.164 eV/atom
* space group: Pm-3m (221)
* theoretical density: 11.3 g cm⁻³
* E: -5.143 eV/atom

=====

Below is crystalline CsLi2ReBr8 at its relaxed geometry, with properties calculated at the PBE level.

Lattice parameters (Å, degrees): 6.525 7.124 9.627 92.50 100.68 66.12
Atoms (fractional coordinates):
Cs (0.000, 0.000, 0.500)
Li (0.572, 0.487, 0.671)
Li (0.428, 0.513, 0.329)
Re (0.000, 0.000, 0.000)
Br (0.033, 0.718, 0.168)
Br (0.648, 0.989, 0.867)
Br (0.772, 0.276, 0.151)
Br (0.967, 0.282, 0.832)
Br (0.352, 0.011, 0.133)
Br (0.228, 0.724, 0.849)
Br (0.632, 0.687, 0.491)
Br (0.368, 0.313, 0.509)

Values from the calculation:
* space group: P-1 (2)
* theoretical density: 4.0 g cm⁻³
* E: -3.424 eV/atom
* uncorrected formation energy: -0.8810 eV/atom

=====

Below is crystalline SrSm2ThAs4 at its relaxed geometry, with properties calculated at the PBE level.

Lattice parameters (Å, degrees): 4.288 7.418 7.422 70.85 90.00 90.00
Atoms (fractional coordinates):
Sr (0.500, 0.500, 0.000)
Sm (0.000, 0.000, 0.000)
Sm (0.500, 0.000, 0.500)
Th (0.000, 0.500, 0.500)
As (0.000, 0.759, 0.737)
As (0.000, 0.241, 0.263)
As (0.500, 0.754, 0.256)
As (0.500, 0.246, 0.744)

Values from the calculation:
* energy of formation from the pure elements: -1.409 eV/atom
* space group: P2/m (10)
* theoretical density: 6.9 g cm⁻³
* E: -6.051 eV/atom

=====

Below is crystalline InAg2P at its relaxed geometry, with properties calculated at the PBE level.

Lattice parameters (Å, degrees): 4.114 4.114 9.919 78.03 78.03 90.00
Atoms (fractional coordinates):
P (0.500, 0.500, 0.000)
P (0.250, 0.750, 0.500)
Ag (0.613, 0.125, 0.250)
Ag (0.137, 0.625, 0.250)
Ag (0.375, 0.387, 0.750)
Ag (0.875, 0.863, 0.750)
In (0.000, 0.000, 0.000)
In (0.750, 0.250, 0.500)

Values from the calculation:
* distance to the lowest polymorph of the same formula: 4.4 kJ per mole of atoms
* energy of formation from the pure elements: 0.203 eV/atom
* space group: I-42d (122)
* theoretical density: 7.5 g cm⁻³
* E: -3.259 eV/atom

=====

Below is crystalline La6TbHo3 at its relaxed geometry, with properties calculated at the PBE level.

Lattice parameters (Å, degrees): 5.640 10.107 13.730 90.00 114.23 90.00
Atoms (fractional coordinates):
La (0.328, 0.819, 0.828)
La (0.518, 0.813, 0.518)
La (0.222, 0.445, 0.222)
La (0.778, 0.555, 0.778)
La (0.482, 0.187, 0.482)
La (0.672, 0.181, 0.172)
La (0.828, 0.681, 0.328)
La (0.018, 0.687, 0.018)
La (0.722, 0.055, 0.722)
La (0.278, 0.945, 0.278)
La (0.982, 0.313, 0.982)
La (0.172, 0.319, 0.672)
Tb (0.500, 0.500, 0.500)
Tb (0.000, 0.000, 0.000)
Ho (0.404, 0.146, 0.903)
Ho (0.500, 0.500, 0.000)
Ho (0.596, 0.854, 0.097)
Ho (0.904, 0.354, 0.403)
Ho (0.000, 0.000, 0.500)
Ho (0.096, 0.646, 0.597)

Values from the calculation:
* distance to the lowest polymorph of the same formula: 0.0 kJ per mole of atoms
* energy of formation from the pure elements: 0.185 eV/atom
* space group: Pbam (55)
* theoretical density: 6.9 g cm⁻³
* E: -4.607 eV/atom